No. 1
First-principles (PBE) data for a relaxed structure of SrPrTm2, as listed in Alexandria.

a b c (Å): 3.6846 3.6846 12.3066
angles (deg): 81.39 81.39 60.00
Last column: nearest neighbours and their distance in Å.
Atoms (fractional coordinates):
Tm  0.0781  0.0781  0.7656  3 Pr 3.56, 6 Tm 3.68, 3 Sr 3.87
Tm  0.2553  0.2553  0.2342  3 Pr 3.53, 6 Tm 3.68, 3 Sr 3.85
Pr  0.6662  0.6662  0.0014  6 Tm 3.53-3.56, 6 Pr 3.68
Sr  0.5004  0.5004  0.4988  6 Sr 3.68, 6 Tm 3.85-3.87

Values from the calculation:
The final energy comes out at -0.27293 Ry per atom. The calculation puts the magnetization at 0.0 μB/f.u. For the formation energy, the calculation gives 0.138 eV/atom. Its symmetry is No. 160. The energy above the lowest structure with this stoichiometry is 0.000 eV/atom.

No. 2
First-principles (PBE) data for a relaxed structure of AgTe4Au3, as listed in Alexandria.

a b c (Å): 7.5711 7.4634 8.7770
angles (deg): 90.00 90.00 90.00
Last column: nearest neighbours and their distance in Å.
Atoms (fractional coordinates):
Au  0.9917  0.6683  0.7507  4 Te 2.68-2.73
Au  0.4932  0.8363  0.0000  4 Te 2.70-2.73
Au  0.9917  0.6683  0.2493  4 Te 2.68-2.73
Au  0.4917  0.3317  0.2507  4 Te 2.68-2.73
Au  0.4917  0.3317  0.7493  4 Te 2.68-2.73
Au  0.9932  0.1637  0.5000  4 Te 2.70-2.73
Te  0.6373  0.6657  0.7550  3 Au 2.68-2.73, 1 Ag 2.77
Te  0.1373  0.3343  0.7450  3 Au 2.68-2.73, 1 Ag 2.77
Te  0.6373  0.1733  0.5000  3 Au 2.70-2.72, 1 Ag 2.77
Te  0.6373  0.6657  0.2450  3 Au 2.68-2.73, 1 Ag 2.77
Te  0.1373  0.8267  0.0000  3 Au 2.70-2.72, 1 Ag 2.77
Te  0.6314  0.1703  0.0000  3 Au 2.70-2.72, 1 Ag 2.76
Te  0.1314  0.8297  0.5000  3 Au 2.70-2.72, 1 Ag 2.76
Te  0.1373  0.3343  0.2550  3 Au 2.68-2.73, 1 Ag 2.77
Ag  0.4954  0.8311  0.5000  4 Te 2.76-2.77
Ag  0.9954  0.1689  0.0000  4 Te 2.76-2.77

Values from the calculation:
The final energy comes out at -0.23032 Ry per atom. The calculation puts the magnetization at 0.0 μB/f.u. Its symmetry is No. 31.